A plane-wave DFT calculation with PBE was carried out for crystalline Pm3Mg2Pd4 at its relaxed geometry.

Results
DOS at the Fermi energy ... 4.81 states/eV per cell
Crystal system ... monoclinic
Calculated formation energy ... -0.711 eV per atom

Cell lengths 5.5719, 5.5719, 9.1571 Å; angles 94.58, 94.58, 45.94 degrees
Closest atoms and distances in Å follow each position.
Sites, in units of the cell vectors:
Pm  0.0000  0.0000  0.0000  6 Pd 3.12-3.15
Pm  0.3736  0.3736  0.6157  6 Pd 2.91-3.18
Pm  0.6264  0.6264  0.3843  6 Pd 2.91-3.18
Mg  0.3251  0.3251  0.2109  5 Pd 2.68-2.74
Mg  0.6749  0.6749  0.7891  5 Pd 2.68-2.74
Pd  0.0843  0.0843  0.6299  2 Mg 2.74, 1 Pd 2.82, 3 Pm 2.98-3.06
Pd  0.2903  0.2903  0.9116  3 Mg 2.68-2.73, 2 Pd 2.88, 1 Pm 2.91
Pd  0.7097  0.7097  0.0884  3 Mg 2.68-2.73, 2 Pd 2.88, 1 Pm 2.91
Pd  0.9157  0.9157  0.3701  2 Mg 2.74, 1 Pd 2.82, 3 Pm 2.98-3.06

***

A plane-wave DFT calculation with PBE was carried out for crystalline PmMg12Pd6 at its relaxed geometry.

Results
DOS at the Fermi energy ... 10.52 states/eV per cell
Crystal system ... trigonal
Calculated formation energy ... -0.417 eV per atom

Cell lengths 7.6342, 7.6342, 7.6342 Å; angles 104.92, 104.92, 104.92 degrees
Closest atoms and distances in Å follow each position.
Sites, in units of the cell vectors:
Pm  0.0000  0.0000  0.0000  6 Mg 3.58, 6 Pd 3.97
Mg  0.1189  0.5000  0.8811  4 Pd 2.62-2.68, 1 Mg 2.88
Mg  0.1189  0.8811  0.5000  4 Pd 2.62-2.68, 1 Mg 2.88
Mg  0.1611  0.4219  0.4219  3 Pd 2.68-2.76
Mg  0.4219  0.1611  0.4219  3 Pd 2.68-2.76
Mg  0.4219  0.4219  0.1611  3 Pd 2.68-2.76
Mg  0.5000  0.1189  0.8811  4 Pd 2.62-2.68, 1 Mg 2.88
Mg  0.5000  0.8811  0.1189  4 Pd 2.62-2.68, 1 Mg 2.88
Mg  0.5781  0.5781  0.8389  3 Pd 2.68-2.76
Mg  0.5781  0.8389  0.5781  3 Pd 2.68-2.76
Mg  0.8389  0.5781  0.5781  3 Pd 2.68-2.76
Mg  0.8811  0.1189  0.5000  4 Pd 2.62-2.68, 1 Mg 2.88
Mg  0.8811  0.5000  0.1189  4 Pd 2.62-2.68, 1 Mg 2.88
Pd  0.2608  0.2608  0.7012  7 Mg 2.62-2.76
Pd  0.2608  0.7012  0.2608  7 Mg 2.62-2.76
Pd  0.2988  0.7392  0.7392  7 Mg 2.62-2.76
Pd  0.7012  0.2608  0.2608  7 Mg 2.62-2.76
Pd  0.7392  0.2988  0.7392  7 Mg 2.62-2.76
Pd  0.7392  0.7392  0.2988  7 Mg 2.62-2.76

***

| no. | VASP energy (eV per atom) |
| --- | --- |
| 1 | -4.957 |
| 2 | -3.314 |